Record 1
A relaxed Ce4GeAs2Br crystal, computed with PBE.

Lattice parameters (Å, degrees): 7.318 4.251 7.355 90.00 109.53 90.00
Space group P2/m (No. 10)
Symmetry-distinct sites (fractional):
Ce  0.239  0.000  0.239 [2 per cell]
Ce  0.246  0.500  0.755 [2 per cell]
Ge  0.000  0.000  0.500 [1 per cell]
As  0.000  0.500  0.000 [1 per cell]
As  0.500  0.000  0.000 [1 per cell]
Br  0.500  0.500  0.500 [1 per cell]

Properties
Energy: -49.20 eV per formula unit
Formation energy without anion corrections: -1.234 eV/atom

Record 2
A relaxed CaMgCu2 crystal, computed with PBE.

Lattice parameters (Å, degrees): 4.791 14.354 5.098 90.00 90.00 90.00
Space group Cmcm (No. 63)
Symmetry-distinct sites (fractional):
Ca  0.000  0.145  0.250 [4 per cell]
Mg  0.000  0.378  0.250 [4 per cell]
Cu  0.000  0.049  0.750 [4 per cell]
Cu  0.000  0.230  0.750 [4 per cell]

Properties
Energy: -11.46 eV per formula unit
DFT formation energy: 0.08 eV per atom

Record 3
A relaxed NaTmGa2Br6 crystal, computed with PBE.

Lattice parameters (Å, degrees): 7.6642 7.6642 19.9170 90.00 90.00 120.00
Space group R3 (No. 146, hexagonal axes)
Symmetry-distinct sites (fractional):
Na  0.0000  0.0000  0.0000 [3 per cell]
Tm  0.0000  0.0000  0.4935 [3 per cell]
Ga  0.0000  0.0000  0.2965 [3 per cell]
Ga  0.0000  0.0000  0.8005 [3 per cell]
Br  0.0061  0.3937  0.2347 [9 per cell]
Br  0.0639  0.6978  0.0726 [9 per cell]

Properties
Energy: -34.59 eV per formula unit
Formation energy without anion corrections: -1.271 eV/atom

> The lowest energy belongs to which entry?

Ce4GeAs2Br

Copy entry 2 word for word.
A relaxed CaMgCu2 crystal, computed with PBE.

Lattice parameters (Å, degrees): 4.791 14.354 5.098 90.00 90.00 90.00
Space group Cmcm (No. 63)
Symmetry-distinct sites (fractional):
Ca  0.000  0.145  0.250 [4 per cell]
Mg  0.000  0.378  0.250 [4 per cell]
Cu  0.000  0.049  0.750 [4 per cell]
Cu  0.000  0.230  0.750 [4 per cell]

Properties
Energy: -11.46 eV per formula unit
DFT formation energy: 0.08 eV per atom

What did the first record say?
A relaxed Ce4GeAs2Br crystal, computed with PBE.

Lattice parameters (Å, degrees): 7.318 4.251 7.355 90.00 109.53 90.00
Space group P2/m (No. 10)
Symmetry-distinct sites (fractional):
Ce  0.239  0.000  0.239 [2 per cell]
Ce  0.246  0.500  0.755 [2 per cell]
Ge  0.000  0.000  0.500 [1 per cell]
As  0.000  0.500  0.000 [1 per cell]
As  0.500  0.000  0.000 [1 per cell]
Br  0.500  0.500  0.500 [1 per cell]

Properties
Energy: -49.20 eV per formula unit
Formation energy without anion corrections: -1.234 eV/atom